Record 1
! NdCd6Au (PBE, relaxed); values from VASP
&SYSTEM
  ibrav = 0, nat = 16, ntyp = 3
/
ATOMIC_SPECIES
Nd 144.24 Nd.upf
Cd 112.41 Cd.upf
Au 196.97 Au.upf
CELL_PARAMETERS angstrom
4.844 0.000 0.000
0.000 5.861 0.000
0.000 0.000 13.459
ATOMIC_POSITIONS angstrom
Nd 0.000 0.000 0.000
Nd 0.000 2.931 6.730
Cd 0.000 1.409 9.794
Cd 0.000 1.522 3.064
Cd 0.000 4.340 3.064
Cd 0.000 4.452 9.794
Cd 2.422 0.000 2.133
Cd 2.422 0.000 7.769
Cd 2.422 1.426 11.721
Cd 2.422 1.505 4.992
Cd 2.422 2.931 1.039
Cd 2.422 2.931 8.863
Cd 2.422 4.356 4.992
Cd 2.422 4.436 11.721
Au 0.000 0.000 5.663
Au 0.000 2.931 12.393
! VASP energy	-1.8897	eV per atom

Record 2
! V3GeBr (PBE, relaxed); values from VASP
&SYSTEM
  ibrav = 0, nat = 5, ntyp = 3
/
ATOMIC_SPECIES
V 50.94 V.upf
Ge 72.64 Ge.upf
Br 79.90 Br.upf
CELL_PARAMETERS angstrom
4.885 0.000 0.000
0.000 4.885 0.000
0.000 0.000 4.885
ATOMIC_POSITIONS angstrom
V 0.000 0.000 2.442
V 0.000 2.442 0.000
V 2.442 0.000 0.000
Ge 0.000 0.000 0.000
Br 2.442 2.442 2.442
! formation energy (no corrections)	0.939	eV/atom
! excess energy over the best structure of this formula in the dataset	0.00	eV per formula unit

Record 3
! NdDy4Er2 (PBE, relaxed); values from VASP
&SYSTEM
  ibrav = 0, nat = 14, ntyp = 3
/
ATOMIC_SPECIES
Nd 144.24 Nd.upf
Dy 162.50 Dy.upf
Er 167.26 Er.upf
CELL_PARAMETERS angstrom
16.614 0.000 0.000
0.000 3.525 0.000
-4.255 0.000 7.613
ATOMIC_POSITIONS angstrom
Nd 0.000 0.000 0.000
Nd 8.307 1.763 0.000
Dy -1.202 1.763 6.333
Dy 2.160 1.763 2.240
Dy 1.892 0.000 5.373
Dy 5.254 0.000 1.280
Dy 7.105 0.000 6.333
Dy 10.467 0.000 2.240
Dy 10.198 1.763 5.373
Dy 13.561 1.763 1.280
Er -0.657 0.000 3.278
Er 4.708 1.763 4.336
Er 7.650 1.763 3.278
Er 13.015 0.000 4.336
! excess energy over the best structure of this formula in the dataset	0.00	eV per formula unit

Record 4
! HfSi3Ge (PBE, relaxed); values from VASP
&SYSTEM
  ibrav = 0, nat = 5, ntyp = 3
/
ATOMIC_SPECIES
Hf 178.49 Hf.upf
Si 28.09 Si.upf
Ge 72.64 Ge.upf
CELL_PARAMETERS angstrom
4.669 0.000 0.000
0.000 4.669 0.000
0.000 0.000 4.669
ATOMIC_POSITIONS angstrom
Hf 0.000 0.000 0.000
Si 0.000 2.335 2.335
Si 2.335 0.000 2.335
Si 2.335 2.335 0.000
Ge 2.335 2.335 2.335
! formation energy (no corrections)	0.989	eV/atom
! excess energy over the best structure of this formula in the dataset	0.29	eV per formula unit

Record 5
! NdTm3Ru8 (PBE, relaxed); values from VASP
&SYSTEM
  ibrav = 0, nat = 12, ntyp = 3
/
ATOMIC_SPECIES
Nd 144.24 Nd.upf
Tm 168.93 Tm.upf
Ru 101.07 Ru.upf
CELL_PARAMETERS angstrom
4.608 -2.659 0.000
4.608 2.659 0.000
-3.104 0.000 8.756
ATOMIC_POSITIONS angstrom
Nd 0.000 0.000 0.000
Tm -0.013 0.000 3.295
Tm 3.056 0.000 4.393
Tm 3.043 0.000 7.654
Ru -1.542 0.000 5.984
Ru 0.736 1.315 5.984
Ru 2.304 1.318 1.695
Ru -0.031 0.000 8.207
Ru 0.736 -1.315 5.984
Ru 2.304 -1.318 1.695
Ru 4.586 0.000 1.694
Ru 6.131 0.000 3.840
! VASP energy	-7.9855	eV per atom

Record 6
! LaMg14Co (PBE, relaxed); values from VASP
&SYSTEM
  ibrav = 0, nat = 16, ntyp = 3
/
ATOMIC_SPECIES
La 138.91 La.upf
Mg 24.30 Mg.upf
Co 58.93 Co.upf
CELL_PARAMETERS angstrom
10.332 0.000 0.000
0.000 3.038 5.873
0.000 -3.038 5.873
ATOMIC_POSITIONS angstrom
La 0.000 0.000 0.000
Mg 0.000 -1.434 3.006
Mg 0.000 1.434 3.006
Mg 2.066 0.000 7.226
Mg 2.596 -1.494 4.537
Mg 2.596 1.494 4.537
Mg 2.758 0.000 1.697
Mg 5.166 0.000 5.710
Mg 5.166 -1.490 8.601
Mg 5.166 1.490 8.601
Mg 5.166 0.000 11.473
Mg 7.574 0.000 1.697
Mg 7.736 -1.494 4.537
Mg 7.736 1.494 4.537
Mg 8.266 0.000 7.226
Co 0.000 0.000 5.363
! excess energy over the best structure of this formula in the dataset	0.00	eV per formula unit

Record 7
! MgTl3F (PBE, relaxed); values from VASP
&SYSTEM
  ibrav = 0, nat = 5, ntyp = 3
/
ATOMIC_SPECIES
Mg 24.30 Mg.upf
Tl 204.38 Tl.upf
F 19.00 F.upf
CELL_PARAMETERS angstrom
5.602 0.000 0.000
0.000 5.602 0.000
0.000 0.000 5.602
ATOMIC_POSITIONS angstrom
Mg 0.000 0.000 0.000
Tl 0.000 0.000 2.801
Tl 0.000 2.801 0.000
Tl 2.801 0.000 0.000
F 2.801 2.801 2.801
! formation energy (no corrections)	-0.119	eV/atom
! excess energy over the best structure of this formula in the dataset	1.93	eV per formula unit

Record 8
! Dy5YPt6 (PBE, relaxed); values from VASP
&SYSTEM
  ibrav = 0, nat = 12, ntyp = 3
/
ATOMIC_SPECIES
Dy 162.50 Dy.upf
Y 88.91 Y.upf
Pt 195.08 Pt.upf
CELL_PARAMETERS angstrom
7.837 -3.466 0.000
7.837 3.466 0.000
-1.561 0.000 4.714
ATOMIC_POSITIONS angstrom
Dy 0.000 0.000 0.000
Dy 1.573 0.000 3.143
Dy 4.710 0.000 1.575
Dy 9.402 0.000 3.139
Dy 12.539 0.000 1.571
Y 7.837 0.000 0.000
Pt 3.910 1.740 3.926
Pt 7.056 1.749 2.357
Pt 10.202 1.740 0.788
Pt 3.910 -1.740 3.926
Pt 7.056 -1.749 2.357
Pt 10.202 -1.740 0.788
! VASP energy	-6.6968	eV per atom